P) # PBE TbTcRu, relaxed
data_TbTcRu
_chemical_formula_sum 'Tb4 Tc4 Ru4'
_cell_length_a 8.3281
_cell_length_b 5.6321
_cell_length_c 5.2029
_cell_angle_alpha 90.00
_cell_angle_beta 108.47
_cell_angle_gamma 90.00
_symmetry_space_group_name_H-M 'C 1 2/m 1'
_symmetry_Int_Tables_number 12
loop_
_symmetry_equiv_pos_as_xyz
'x,y,z'
'-x,-y,-z'
'-x,y,-z'
'x,-y,z'
'x+1/2,y+1/2,z'
'-x+1/2,-y+1/2,-z'
'-x+1/2,y+1/2,-z'
'x+1/2,-y+1/2,z'
loop_
_atom_site_label
_atom_site_fract_x
_atom_site_fract_y
_atom_site_fract_z
Tb1 0.1315 0.0000 0.3654
Tc1 0.2500 0.2500 0.0000
Ru1 0.0082 0.5000 0.7445
# spin magnetization = 0.00 μB/cell
# DOS(E_F) = 12.25 states/eV/cell

Q) # PBE TbTcRu, relaxed
data_TbTcRu
_chemical_formula_sum 'Tb4 Tc4 Ru4'
_cell_length_a 5.0764
_cell_length_b 5.6847
_cell_length_c 7.6421
_cell_angle_alpha 90.00
_cell_angle_beta 90.00
_cell_angle_gamma 90.00
_symmetry_space_group_name_H-M 'I m m a'
_symmetry_Int_Tables_number 74
_symmetry_space_group_name_Hall '-I 2b 2'
loop_
_atom_site_label
_atom_site_fract_x
_atom_site_fract_y
_atom_site_fract_z
Tb1 0.0000 0.2500 0.1216
Tc1 0.2500 0.2500 0.7500
Ru1 0.0000 0.0000 0.5000
# spin magnetization = 0.00 μB/cell
# DOS(E_F) = 11.07 states/eV/cell

Which structure is the least stable? The one labeled P).

P) # PBE Tb3TeRu, relaxed
data_Tb3TeRu
_chemical_formula_sum 'Tb12 Te4 Ru4'
_cell_length_a 12.1763
_cell_length_b 4.2845
_cell_length_c 10.7826
_cell_angle_alpha 90.00
_cell_angle_beta 104.75
_cell_angle_gamma 90.00
_symmetry_space_group_name_H-M 'C 1 2/m 1'
_symmetry_Int_Tables_number 12
loop_
_symmetry_equiv_pos_as_xyz
'x,y,z'
'-x,-y,-z'
'-x,y,-z'
'x,-y,z'
'x+1/2,y+1/2,z'
'-x+1/2,-y+1/2,-z'
'-x+1/2,y+1/2,-z'
'x+1/2,-y+1/2,z'
loop_
_atom_site_label
_atom_site_fract_x
_atom_site_fract_y
_atom_site_fract_z
Tb1 0.0852 0.0000 0.3883
Tb2 0.1254 0.5000 0.1308
Tb3 0.1520 0.5000 0.6705
Te1 0.0999 0.0000 0.8916
Ru1 0.2226 0.5000 0.3922
# spin magnetization = 0.00 μB/cell
# DOS(E_F) = 12.66 states/eV/cell

Q) # PBE Tb3TeRu, relaxed
data_Tb3TeRu
_chemical_formula_sum 'Tb12 Te4 Ru4'
_cell_length_a 17.1055
_cell_length_b 4.2918
_cell_length_c 8.4407
_cell_angle_alpha 90.00
_cell_angle_beta 111.56
_cell_angle_gamma 90.00
_symmetry_space_group_name_H-M 'C 1 2/m 1'
_symmetry_Int_Tables_number 12
loop_
_symmetry_equiv_pos_as_xyz
'x,y,z'
'-x,-y,-z'
'-x,y,-z'
'x,-y,z'
'x+1/2,y+1/2,z'
'-x+1/2,-y+1/2,-z'
'-x+1/2,y+1/2,-z'
'x+1/2,-y+1/2,z'
loop_
_atom_site_label
_atom_site_fract_x
_atom_site_fract_y
_atom_site_fract_z
Tb1 0.0814 0.0000 0.1855
Tb2 0.0967 0.5000 0.8398
Tb3 0.2408 0.0000 0.7407
Te1 0.1188 0.5000 0.4715
Ru1 0.1904 0.0000 0.0254
# spin magnetization = 0.00 μB/cell
# DOS(E_F) = 13.48 states/eV/cell

Which structure is the least stable? The one labeled P).

P) # PBE Tb4TeRu, relaxed
data_Tb4TeRu
_chemical_formula_sum 'Tb16 Te4 Ru4'
_cell_length_a 18.0043
_cell_length_b 5.3413
_cell_length_c 9.5179
_cell_angle_alpha 90.00
_cell_angle_beta 110.67
_cell_angle_gamma 90.00
_symmetry_space_group_name_H-M 'C 1 2/m 1'
_symmetry_Int_Tables_number 12
loop_
_symmetry_equiv_pos_as_xyz
'x,y,z'
'-x,-y,-z'
'-x,y,-z'
'x,-y,z'
'x+1/2,y+1/2,z'
'-x+1/2,-y+1/2,-z'
'-x+1/2,y+1/2,-z'
'x+1/2,-y+1/2,z'
loop_
_atom_site_label
_atom_site_fract_x
_atom_site_fract_y
_atom_site_fract_z
Tb1 0.0179 0.0000 0.2407
Tb2 0.1009 0.5000 0.0380
Tb3 0.1987 0.0000 0.9039
Tb4 0.2388 0.0000 0.3074
Te1 0.1601 0.0000 0.5557
Ru1 0.0956 0.0000 0.0517
# spin magnetization = 0.00 μB/cell
# DOS(E_F) = 18.02 states/eV/cell

Q) # PBE Tb4TeRu, relaxed
data_Tb4TeRu
_chemical_formula_sum 'Tb16 Te4 Ru4'
_cell_length_a 8.1815
_cell_length_b 4.0166
_cell_length_c 19.5239
_cell_angle_alpha 90.00
_cell_angle_beta 90.00
_cell_angle_gamma 90.00
_symmetry_space_group_name_H-M 'P n m a'
_symmetry_Int_Tables_number 62
loop_
_symmetry_equiv_pos_as_xyz
'x,y,z'
'-x,-y,-z'
'-x+1/2,-y,z+1/2'
'x+1/2,y,-z+1/2'
'x+1/2,-y+1/2,-z+1/2'
'-x+1/2,y+1/2,z+1/2'
'-x,y+1/2,-z'
'x,-y+1/2,z'
loop_
_atom_site_label
_atom_site_fract_x
_atom_site_fract_y
_atom_site_fract_z
Tb1 0.0027 0.2500 0.0678
Tb2 0.0430 0.7500 0.2155
Tb3 0.1395 0.7500 0.6438
Tb4 0.1420 0.7500 0.4523
Te1 0.2427 0.2500 0.3096
Ru1 0.2446 0.2500 0.5496
# spin magnetization = 0.00 μB/cell
# DOS(E_F) = 21.99 states/eV/cell

Which structure is the least stable? The one labeled P).

P) # PBE Tb2TeRu, relaxed
data_Tb2TeRu
_chemical_formula_sum 'Tb6 Te3 Ru3'
_cell_length_a 4.1021
_cell_length_b 4.1021
_cell_length_c 21.9359
_cell_angle_alpha 90.00
_cell_angle_beta 90.00
_cell_angle_gamma 120.00
_symmetry_space_group_name_H-M 'R -3 m'
_symmetry_Int_Tables_number 166
_symmetry_space_group_name_Hall '-R 3 2"'
loop_
_atom_site_label
_atom_site_fract_x
_atom_site_fract_y
_atom_site_fract_z
Tb1 0.0000 0.0000 0.2372
Te1 0.0000 0.0000 0.0000
Ru1 0.0000 0.0000 0.5000
# spin magnetization = 0.00 μB/cell
# DOS(E_F) = 6.36 states/eV/cell

Q) # PBE Tb2TeRu, relaxed
data_Tb2TeRu
_chemical_formula_sum 'Tb2 Te1 Ru1'
_cell_length_a 3.5790
_cell_length_b 3.5790
_cell_length_c 7.4765
_cell_angle_alpha 90.00
_cell_angle_beta 90.00
_cell_angle_gamma 90.00
_symmetry_space_group_name_H-M 'P 4/m m m'
_symmetry_Int_Tables_number 123
_symmetry_space_group_name_Hall '-P 4 2'
loop_
_atom_site_label
_atom_site_fract_x
_atom_site_fract_y
_atom_site_fract_z
Tb1 0.0000 0.0000 0.2219
Te1 0.5000 0.5000 0.5000
Ru1 0.5000 0.5000 0.0000
# spin magnetization = 0.00 μB/cell
# DOS(E_F) = 0.84 states/eV/cell

Which structure is the least stable? The one labeled P).

P) # PBE Tb5Te2Ru, relaxed
data_Tb5Te2Ru
_chemical_formula_sum 'Tb20 Te8 Ru4'
_cell_length_a 5.8841
_cell_length_b 11.8979
_cell_length_c 14.5612
_cell_angle_alpha 90.00
_cell_angle_beta 90.00
_cell_angle_gamma 90.00
_symmetry_space_group_name_H-M 'C m c m'
_symmetry_Int_Tables_number 63
_symmetry_space_group_name_Hall '-C 2c 2'
loop_
_atom_site_label
_atom_site_fract_x
_atom_site_fract_y
_atom_site_fract_z
Tb1 0.0000 0.0626 0.1233
Tb2 0.0000 0.3045 0.7500
Tb3 0.0000 0.3704 0.1144
Te1 0.0000 0.1901 0.5591
Ru1 0.0000 0.2192 0.2500
# spin magnetization = 0.00 μB/cell
# DOS(E_F) = 31.46 states/eV/cell

Q) # PBE Tb5Te2Ru, relaxed
data_Tb5Te2Ru
_chemical_formula_sum 'Tb10 Te4 Ru2'
_cell_length_a 8.1944
_cell_length_b 12.8867
_cell_length_c 4.2144
_cell_angle_alpha 90.00
_cell_angle_beta 90.00
_cell_angle_gamma 90.00
_symmetry_space_group_name_H-M 'P b a m'
_symmetry_Int_Tables_number 55
loop_
_symmetry_equiv_pos_as_xyz
'x,y,z'
'-x,-y,-z'
'-x,-y,z'
'x,y,-z'
'x+1/2,-y+1/2,-z'
'-x+1/2,y+1/2,z'
'-x+1/2,y+1/2,-z'
'x+1/2,-y+1/2,z'
loop_
_atom_site_label
_atom_site_fract_x
_atom_site_fract_y
_atom_site_fract_z
Tb1 0.0000 0.0000 0.0000
Tb2 0.1574 0.3141 0.0000
Tb3 0.1739 0.5785 0.5000
Te1 0.0468 0.8217 0.5000
Ru1 0.0000 0.5000 0.0000
# spin magnetization = 0.00 μB/cell
# DOS(E_F) = 10.77 states/eV/cell

Which structure is the least stable? The one labeled P).

P) # PBE Tb2ThRu2, relaxed
data_Tb2ThRu2
_chemical_formula_sum 'Tb4 Th2 Ru4'
_cell_length_a 4.3127
_cell_length_b 4.4462
_cell_length_c 12.6459
_cell_angle_alpha 90.00
_cell_angle_beta 99.76
_cell_angle_gamma 90.00
_symmetry_space_group_name_H-M 'P 1 21/m 1'
_symmetry_Int_Tables_number 11
loop_
_symmetry_equiv_pos_as_xyz
'x,y,z'
'-x,-y,-z'
'-x,y+1/2,-z'
'x,-y+1/2,z'
loop_
_atom_site_label
_atom_site_fract_x
_atom_site_fract_y
_atom_site_fract_z
Tb1 0.0552 0.2500 0.1104
Tb2 0.2506 0.7500 0.5021
Th1 0.3682 0.2500 0.7332
Ru1 0.1731 0.2500 0.3449
Ru2 0.4642 0.2500 0.9313
# spin magnetization = 0.00 μB/cell
# DOS(E_F) = 5.86 states/eV/cell

Q) # PBE Tb2ThRu2, relaxed
data_Tb2ThRu2
_chemical_formula_sum 'Tb2 Th1 Ru2'
_cell_length_a 4.6969
_cell_length_b 4.6969
_cell_length_c 6.3776
_cell_angle_alpha 90.00
_cell_angle_beta 90.00
_cell_angle_gamma 120.00
_symmetry_space_group_name_H-M 'P -3 m 1'
_symmetry_Int_Tables_number 164
_symmetry_space_group_name_Hall '-P 3 2"'
loop_
_atom_site_label
_atom_site_fract_x
_atom_site_fract_y
_atom_site_fract_z
Tb1 0.3333 0.6667 0.3448
Th1 0.0000 0.0000 0.0000
Ru1 0.3333 0.6667 0.8494
# spin magnetization = 0.00 μB/cell
# DOS(E_F) = 3.46 states/eV/cell

Which structure is the least stable? The one labeled P).

P) # PBE Tb5Tl2Ru, relaxed
data_Tb5Tl2Ru
_chemical_formula_sum 'Tb20 Tl8 Ru4'
_cell_length_a 5.4633
_cell_length_b 16.6287
_cell_length_c 12.4243
_cell_angle_alpha 90.00
_cell_angle_beta 90.00
_cell_angle_gamma 90.00
_symmetry_space_group_name_H-M 'C m c m'
_symmetry_Int_Tables_number 63
_symmetry_space_group_name_Hall '-C 2c 2'
loop_
_atom_site_label
_atom_site_fract_x
_atom_site_fract_y
_atom_site_fract_z
Tb1 0.0000 0.0719 0.1034
Tb2 0.0000 0.2939 0.0777
Tb3 0.0000 0.2961 0.7500
Tl1 0.0000 0.1189 0.6318
Ru1 0.0000 0.1861 0.2500
# spin magnetization = 0.00 μB/cell
# DOS(E_F) = 27.17 states/eV/cell

Q) # PBE Tb5Tl2Ru, relaxed
data_Tb5Tl2Ru
_chemical_formula_sum 'Tb10 Tl4 Ru2'
_cell_length_a 7.7938
_cell_length_b 12.1742
_cell_length_c 4.6796
_cell_angle_alpha 90.00
_cell_angle_beta 90.00
_cell_angle_gamma 90.00
_symmetry_space_group_name_H-M 'P b a m'
_symmetry_Int_Tables_number 55
loop_
_symmetry_equiv_pos_as_xyz
'x,y,z'
'-x,-y,-z'
'-x,-y,z'
'x,y,-z'
'x+1/2,-y+1/2,-z'
'-x+1/2,y+1/2,z'
'-x+1/2,y+1/2,-z'
'x+1/2,-y+1/2,z'
loop_
_atom_site_label
_atom_site_fract_x
_atom_site_fract_y
_atom_site_fract_z
Tb1 0.0000 0.0000 0.0000
Tb2 0.1401 0.2974 0.0000
Tb3 0.1823 0.5718 0.5000
Tl1 0.0748 0.8314 0.5000
Ru1 0.0000 0.5000 0.0000
# spin magnetization = 0.00 μB/cell
# DOS(E_F) = 13.74 states/eV/cell

Which structure is the least stable? The one labeled P).

P) # PBE Tb6TlRu2, relaxed
data_Tb6TlRu2
_chemical_formula_sum 'Tb12 Tl2 Ru4'
_cell_length_a 10.1777
_cell_length_b 5.0226
_cell_length_c 9.4399
_cell_angle_alpha 90.00
_cell_angle_beta 101.70
_cell_angle_gamma 90.00
_symmetry_space_group_name_H-M 'C 1 2/m 1'
_symmetry_Int_Tables_number 12
loop_
_symmetry_equiv_pos_as_xyz
'x,y,z'
'-x,-y,-z'
'-x,y,-z'
'x,-y,z'
'x+1/2,y+1/2,z'
'-x+1/2,-y+1/2,-z'
'-x+1/2,y+1/2,-z'
'x+1/2,-y+1/2,z'
loop_
_atom_site_label
_atom_site_fract_x
_atom_site_fract_y
_atom_site_fract_z
Tb1 0.0338 0.0000 0.3432
Tb2 0.1634 0.5000 0.8801
Tb3 0.2142 0.5000 0.3429
Tl1 0.0000 0.0000 0.0000
Ru1 0.1137 0.5000 0.5964
# spin magnetization = 0.00 μB/cell
# DOS(E_F) = 15.64 states/eV/cell

Q) # PBE Tb6TlRu2, relaxed
data_Tb6TlRu2
_chemical_formula_sum 'Tb24 Tl4 Ru8'
_cell_length_a 9.4127
_cell_length_b 9.6364
_cell_length_c 10.4777
_cell_angle_alpha 90.00
_cell_angle_beta 90.00
_cell_angle_gamma 90.00
_symmetry_space_group_name_H-M 'I m m m'
_symmetry_Int_Tables_number 71
_symmetry_space_group_name_Hall '-I 2 2'
loop_
_atom_site_label
_atom_site_fract_x
_atom_site_fract_y
_atom_site_fract_z
Tb1 0.0000 0.2067 0.2389
Tb2 0.1880 0.5000 0.1701
Tb3 0.2132 0.3168 0.5000
Tl1 0.0000 0.0000 0.0000
Tl2 0.0000 0.0000 0.5000
Ru1 0.0000 0.3300 0.0000
Ru2 0.0000 0.5000 0.3736
# spin magnetization = 0.00 μB/cell
# DOS(E_F) = 33.77 states/eV/cell

Which structure is the least stable? The one labeled P).

P) # PBE Tb2TmRu2, relaxed
data_Tb2TmRu2
_chemical_formula_sum 'Tb8 Tm4 Ru8'
_cell_length_a 10.2719
_cell_length_b 6.7115
_cell_length_c 6.7332
_cell_angle_alpha 90.00
_cell_angle_beta 90.64
_cell_angle_gamma 90.00
_symmetry_space_group_name_H-M 'P 1 21/c 1'
_symmetry_Int_Tables_number 14
loop_
_symmetry_equiv_pos_as_xyz
'x,y,z'
'-x,-y,-z'
'-x,y+1/2,-z+1/2'
'x,-y+1/2,z+1/2'
loop_
_atom_site_label
_atom_site_fract_x
_atom_site_fract_y
_atom_site_fract_z
Tb1 0.0030 0.2494 0.4584
Tb2 0.3311 0.7287 0.9716
Tm1 0.3368 0.2303 0.0181
Ru1 0.1683 0.0036 0.7468
Ru2 0.4965 0.9995 0.7495
# spin magnetization = 0.00 μB/cell
# DOS(E_F) = 11.67 states/eV/cell

Q) # PBE Tb2TmRu2, relaxed
data_Tb2TmRu2
_chemical_formula_sum 'Tb4 Tm2 Ru4'
_cell_length_a 3.3902
_cell_length_b 20.4123
_cell_length_c 3.3678
_cell_angle_alpha 90.00
_cell_angle_beta 90.00
_cell_angle_gamma 90.00
_symmetry_space_group_name_H-M 'C m m m'
_symmetry_Int_Tables_number 65
_symmetry_space_group_name_Hall '-C 2 2'
loop_
_atom_site_label
_atom_site_fract_x
_atom_site_fract_y
_atom_site_fract_z
Tb1 0.0000 0.1639 0.0000
Tm1 0.0000 0.0000 0.0000
Ru1 0.0000 0.4143 0.5000
# spin magnetization = 0.00 μB/cell
# DOS(E_F) = 5.56 states/eV/cell

Which structure is the least stable? The one labeled P).

P) # PBE TbTmRu, relaxed
data_TbTmRu
_chemical_formula_sum 'Tb4 Tm4 Ru4'
_cell_length_a 6.7272
_cell_length_b 6.7272
_cell_length_c 6.7272
_cell_angle_alpha 90.00
_cell_angle_beta 90.00
_cell_angle_gamma 90.00
_symmetry_space_group_name_H-M 'F -4 3 m'
_symmetry_Int_Tables_number 216
_symmetry_space_group_name_Hall 'F -4 2 3'
loop_
_atom_site_label
_atom_site_fract_x
_atom_site_fract_y
_atom_site_fract_z
Tb1 0.0000 0.0000 0.0000
Tm1 0.0000 0.0000 0.5000
Ru1 0.2500 0.2500 0.7500
# spin magnetization = 0.00 μB/cell
# DOS(E_F) = 5.73 states/eV/cell

Q) # PBE TbTmRu, relaxed
data_TbTmRu
_chemical_formula_sum 'Tb3 Tm3 Ru3'
_cell_length_a 7.6108
_cell_length_b 7.6108
_cell_length_c 4.2042
_cell_angle_alpha 90.00
_cell_angle_beta 90.00
_cell_angle_gamma 120.00
_symmetry_space_group_name_H-M 'P -6 2 m'
_symmetry_Int_Tables_number 189
_symmetry_space_group_name_Hall 'P -6 -2'
loop_
_atom_site_label
_atom_site_fract_x
_atom_site_fract_y
_atom_site_fract_z
Tb1 0.0000 0.5882 0.0000
Tm1 0.0000 0.2552 0.5000
Ru1 0.0000 0.0000 0.0000
Ru2 0.3333 0.6667 0.5000
# spin magnetization = 0.00 μB/cell
# DOS(E_F) = 3.12 states/eV/cell

R) # PBE TbTmRu, relaxed
data_TbTmRu
_chemical_formula_sum 'Tb2 Tm2 Ru2'
_cell_length_a 3.3865
_cell_length_b 3.3865
_cell_length_c 12.9025
_cell_angle_alpha 90.00
_cell_angle_beta 90.00
_cell_angle_gamma 90.00
_symmetry_space_group_name_H-M 'I 4 m m'
_symmetry_Int_Tables_number 107
_symmetry_space_group_name_Hall 'I 4 -2'
loop_
_atom_site_label
_atom_site_fract_x
_atom_site_fract_y
_atom_site_fract_z
Tb1 0.0000 0.0000 0.0000
Tm1 0.0000 0.0000 0.2542
Ru1 0.0000 0.0000 0.6305
# spin magnetization = 0.00 μB/cell
# DOS(E_F) = 2.80 states/eV/cell

Which structure is the least stable? The one labeled P).